A relaxed structure of KTe2IF, computed with PBE.

Lattice parameters (Å, degrees): 4.8000 4.8000 7.4724 90.00 90.00 90.00
Fractional positions:
Te1 0.5000 0.0000 0.0000
Te2 0.0000 0.5000 0.0000
K1 0.5000 0.5000 0.5000
F1 0.0000 0.0000 0.0000
I1 0.0000 0.0000 0.5000

Calculated values
Its calculated total energy is -0.2026 Ry/atom. The calculation puts the uncorrected formation energy at -2.98 eV per formula unit. Its calculated volume is 34.433 Å³/atom. As for the space group: P4/mmm.